DFT (PBE+U) results for a geometry-optimized NaPaMn4O8 structure. Values from VASP.

```
&SYSTEM
  ibrav = 0, nat = 14, ntyp = 4
/
ATOMIC_SPECIES
Na 22.99 Na.upf
Pa 231.04 Pa.upf
Mn 54.94 Mn.upf
O 16.00 O.upf
ATOMIC_POSITIONS angstrom
Na 0.0000 0.0000 0.0000
Pa 0.0000 0.0000 10.2690
Mn -1.6043 -0.9262 7.5331
Mn 0.0000 0.0000 4.2576
Mn 1.6042 -0.9262 7.5331
Mn 0.0000 1.8524 7.5331
O 0.0000 -1.7323 8.8655
O -1.5002 0.8662 8.8655
O 0.0000 0.0000 6.5575
O -1.4169 -0.8181 11.6600
O 0.0000 0.0000 13.8587
O 1.5002 0.8662 8.8655
O 1.4169 -0.8181 11.6600
O 0.0000 1.6361 11.6600
CELL_PARAMETERS angstrom
3.1712 1.8309 5.3981
-3.1712 1.8309 5.3981
0.0000 -3.6618 5.3981
```

Output
size of the total moment	18.00	μB/cell
raw total energy	-7.794	eV per atom
symmetry	R3m (160)